Sr2Cu3Ge: optimized geometry, PBE.

Unit cell a=6.102 b=6.102 c=8.623 alpha=110.52 beta=110.52 gamma=90.18
Fractional coordinates of all 12 atoms:
Sr 0.241 0.759 0.000
Sr 0.250 0.750 0.500
Sr 0.750 0.250 0.500
Sr 0.759 0.241 0.000
Cu 0.168 0.168 0.337
Cu 0.169 0.169 0.832
Cu 0.338 0.338 0.168
Cu 0.662 0.662 0.832
Cu 0.831 0.831 0.168
Cu 0.832 0.832 0.663
Ge 0.335 0.335 0.670
Ge 0.665 0.665 0.330

Formation energy ... -1.33 eV per formula unit
Space group ... C2/m
Total DFT energy (no corrections) ... -3.599 eV per atom
Total magnetic moment ... 0.000 μB/f.u.

***

NdGd3Os: optimized geometry, PBE.

Unit cell a=5.487 b=5.487 c=5.487 alpha=90.00 beta=90.00 gamma=90.00
Fractional coordinates of all 5 atoms:
Nd 0.000 0.000 0.000
Gd 0.000 0.500 0.500
Gd 0.500 0.000 0.500
Gd 0.500 0.500 0.000
Os 0.500 0.500 0.500

Formation energy ... -0.01 eV per formula unit
Space group ... Pm-3m
Total DFT energy (no corrections) ... -11.650 eV per atom
Total magnetic moment ... 22.172 μB/f.u.

***

Hg2SbRu: optimized geometry, PBE.

Unit cell a=3.279 b=3.279 c=28.163 alpha=90.00 beta=90.00 gamma=120.00
Fractional coordinates of all 12 atoms:
Hg 0.000 0.000 0.241
Hg 0.000 0.000 0.759
Hg 0.333 0.667 0.425
Hg 0.333 0.667 0.908
Hg 0.667 0.333 0.092
Hg 0.667 0.333 0.575
Sb 0.000 0.000 0.000
Sb 0.333 0.667 0.667
Sb 0.667 0.333 0.333
Ru 0.000 0.000 0.500
Ru 0.333 0.667 0.167
Ru 0.667 0.333 0.833

Space group ... R-3m
Total DFT energy (no corrections) ... -2.930 eV per atom
Formation energy from raw total energies ... 570 meV per atom
Total magnetic moment ... 1.045 μB/f.u.

***

ZnInAs2: optimized geometry, PBE.

Unit cell a=3.761 b=3.864 c=11.856 alpha=90.00 beta=90.00 gamma=90.00
Fractional coordinates of all 8 atoms:
Zn 0.000 0.000 0.000
Zn 0.500 0.500 0.500
In 0.000 0.500 0.224
In 0.500 0.000 0.724
As 0.000 0.000 0.520
As 0.000 0.500 0.837
As 0.500 0.000 0.337
As 0.500 0.500 0.020

Formation energy ... 0.52 eV per formula unit
Space group ... Imm2
Total DFT energy (no corrections) ... -3.198 eV per atom
Total magnetic moment ... 0.000 μB/f.u.

***

Q: What is the formula in the third record?
A: Hg2SbRu